[1]
A plane-wave DFT calculation with GGA-PBE was carried out for a relaxed structure of Rb2AgSeO.

Geometry as POSCAR:
```
Rb2AgSeO
1.0
-1.789 -5.754 0.418
2.252 -1.099 -5.496
3.538 -0.981 1.646
Rb Se Ag O
2 1 1 1
direct
0.000 0.500 0.000
0.500 0.000 0.000
0.500 0.500 0.500
0.000 0.000 0.500
0.000 0.000 0.000
```

DOS at the Fermi energy (states/eV/atom): 0.9180
Electronic total energy (eV per cell): -16.5

[2]
A plane-wave DFT calculation with GGA-PBE was carried out for a relaxed structure of Rb2SiAgO4.

Geometry as POSCAR:
```
Rb2SiAgO4
1.0
-2.075 3.890 3.385
-6.379 -0.677 1.431
1.416 -3.869 9.880
Rb O Si Ag
4 8 2 2
direct
0.928 0.500 0.144
0.822 0.000 0.356
0.572 0.500 0.856
0.178 0.000 0.644
0.390 0.666 0.415
0.944 0.666 0.585
0.195 0.334 0.415
0.471 0.334 0.585
0.360 0.834 0.085
0.555 0.166 0.085
0.279 0.166 0.915
0.806 0.834 0.915
0.250 0.500 0.500
0.500 0.000 0.000
0.750 0.500 0.500
0.000 0.000 0.000
```

DOS at the Fermi energy (states/eV/atom): 0.4884
Electronic total energy (eV per cell): -85.1

Repeat the second record exactly.
A plane-wave DFT calculation with GGA-PBE was carried out for a relaxed structure of Rb2SiAgO4.

Geometry as POSCAR:
```
Rb2SiAgO4
1.0
-2.075 3.890 3.385
-6.379 -0.677 1.431
1.416 -3.869 9.880
Rb O Si Ag
4 8 2 2
direct
0.928 0.500 0.144
0.822 0.000 0.356
0.572 0.500 0.856
0.178 0.000 0.644
0.390 0.666 0.415
0.944 0.666 0.585
0.195 0.334 0.415
0.471 0.334 0.585
0.360 0.834 0.085
0.555 0.166 0.085
0.279 0.166 0.915
0.806 0.834 0.915
0.250 0.500 0.500
0.500 0.000 0.000
0.750 0.500 0.500
0.000 0.000 0.000
```

DOS at the Fermi energy (states/eV/atom): 0.4884
Electronic total energy (eV per cell): -85.1

Please write out number 2 again, unchanged.
A plane-wave DFT calculation with GGA-PBE was carried out for a relaxed structure of Rb2SiAgO4.

Geometry as POSCAR:
```
Rb2SiAgO4
1.0
-2.075 3.890 3.385
-6.379 -0.677 1.431
1.416 -3.869 9.880
Rb O Si Ag
4 8 2 2
direct
0.928 0.500 0.144
0.822 0.000 0.356
0.572 0.500 0.856
0.178 0.000 0.644
0.390 0.666 0.415
0.944 0.666 0.585
0.195 0.334 0.415
0.471 0.334 0.585
0.360 0.834 0.085
0.555 0.166 0.085
0.279 0.166 0.915
0.806 0.834 0.915
0.250 0.500 0.500
0.500 0.000 0.000
0.750 0.500 0.500
0.000 0.000 0.000
```

DOS at the Fermi energy (states/eV/atom): 0.4884
Electronic total energy (eV per cell): -85.1

Which of these has the lowest electronic total energy? Rb2SiAgO4

The lowest DOS at the Fermi energy belongs to which entry? Rb2SiAgO4